Version P
Compound: MnTl2Co
Source: the Alexandria database
Functional: PBE
Structure: optimized geometry

Cell lengths 3.1928, 3.1928, 7.7728 Å; angles 90.00, 90.00, 90.00 degrees
With the nearest neighbours (Å) after each atom.
Space group P4mm (No. 99)
Asymmetric unit:
Mn: 0.0000 0.0000 0.0000 (multiplicity 1)  4 Co 2.52
Tl: 0.0000 0.0000 0.6205 (multiplicity 1)  4 Co 2.90, 1 Mn 2.95, 4 Tl 3.19
Tl: 0.5000 0.5000 0.2570 (multiplicity 1)  4 Mn 3.01, 1 Co 3.12, 4 Tl 3.19
Co: 0.5000 0.5000 0.8553 (multiplicity 1)  4 Mn 2.52

D(E_F): 0.610 states/eV/atom
Crystal system: tetragonal
Magnetic moment: 4.980 μB/f.u.


Version Q
Compound: MnTl2Co
Source: the Alexandria database
Functional: PBE
Structure: optimized geometry

Cell lengths 3.2392, 3.2392, 6.9068 Å; angles 90.00, 90.00, 90.00 degrees
With the nearest neighbours (Å) after each atom.
Space group P4/mmm (No. 123)
Asymmetric unit:
Mn: 0.0000 0.0000 0.0000 (multiplicity 1)  8 Tl 2.94, 4 Mn 3.24
Tl: 0.5000 0.5000 0.2668 (multiplicity 2)  4 Co 2.80, 4 Mn 2.94
Co: 0.0000 0.0000 0.5000 (multiplicity 1)  8 Tl 2.80

D(E_F): 0.935 states/eV/atom
Crystal system: tetragonal
Magnetic moment: 4.545 μB/f.u.


Stability ranking, top and bottom: version P is the most stable and version Q is the least stable.


Version P
Compound: MnTl2Co
Source: the Alexandria database
Functional: PBE
Structure: optimized geometry

Cell lengths 3.2042, 3.2042, 27.1793 Å; angles 90.00, 90.00, 120.00 degrees
With the nearest neighbours (Å) after each atom.
Space group R3m (No. 160, hexagonal axes)
Asymmetric unit:
Mn: 0.0000 0.0000 0.0000 (multiplicity 3)  3 Co 2.45
Tl: 0.0000 0.0000 0.2459 (multiplicity 3)  3 Mn 3.01, 6 Tl 3.20
Tl: 0.0000 0.0000 0.4717 (multiplicity 3)  3 Co 2.84
Co: 0.0000 0.0000 0.7257 (multiplicity 3)  3 Mn 2.45

D(E_F): 0.817 states/eV/atom
Crystal system: trigonal
Magnetic moment: 4.989 μB/f.u.


Version Q
Compound: MnTl2Co
Source: the Alexandria database
Functional: PBE
Structure: optimized geometry

Cell lengths 3.3764, 5.2173, 8.8468 Å; angles 90.00, 90.00, 90.00 degrees
With the nearest neighbours (Å) after each atom.
Space group Immm (No. 71)
Asymmetric unit:
Mn: 0.0000 0.0000 0.0000 (multiplicity 2)  4 Tl 2.88, 4 Co 3.11
Tl: 0.0000 0.5000 0.2365 (multiplicity 4)  2 Co 2.69, 2 Mn 2.88
Co: 0.0000 0.0000 0.5000 (multiplicity 2)  4 Tl 2.69

D(E_F): 0.766 states/eV/atom
Crystal system: orthorhombic
Magnetic moment: 5.081 μB/f.u.


Stability ranking, top and bottom: version P is the most stable and version Q is the least stable.


Version P
Compound: MnTl2Co
Source: the Alexandria database
Functional: PBE
Structure: optimized geometry

Cell lengths 3.2094, 3.2094, 25.5375 Å; angles 90.00, 90.00, 120.00 degrees
With the nearest neighbours (Å) after each atom.
Space group R-3m (No. 166, hexagonal axes)
Asymmetric unit:
Mn: 0.0000 0.0000 0.0000 (multiplicity 3)  6 Tl 2.93, 6 Mn 3.21
Tl: 0.0000 0.0000 0.2444 (multiplicity 6)  3 Co 2.72, 3 Mn 2.93
Co: 0.0000 0.0000 0.5000 (multiplicity 3)  6 Tl 2.72

D(E_F): 1.131 states/eV/atom
Crystal system: trigonal
Magnetic moment: 4.260 μB/f.u.


Version Q
Compound: MnTl2Co
Source: the Alexandria database
Functional: PBE
Structure: optimized geometry

Cell lengths 9.0339, 3.5618, 5.0611 Å; angles 90.00, 107.74, 90.00 degrees
With the nearest neighbours (Å) after each atom.
Space group C2/m (No. 12)
Asymmetric unit:
Mn: 0.0000 0.0000 0.0000 (multiplicity 2)  6 Tl 2.87-2.92, 4 Co 3.09
Tl: 0.2402 0.0000 0.7375 (multiplicity 4)  3 Co 2.78-2.95, 3 Mn 2.87-2.92, 2 Tl 3.04
Co: 0.0000 0.5000 0.5000 (multiplicity 2)  6 Tl 2.78-2.95, 4 Mn 3.09

D(E_F): 0.808 states/eV/atom
Crystal system: monoclinic
Magnetic moment: 5.285 μB/f.u.


Stability ranking, top and bottom: version Q is the most stable and version P is the least stable.


Version P
Compound: MnTlCo2
Source: the Alexandria database
Functional: PBE
Structure: optimized geometry

Cell lengths 2.9605, 2.9605, 24.7564 Å; angles 90.00, 90.00, 120.00 degrees
With the nearest neighbours (Å) after each atom.
Space group R3m (No. 160, hexagonal axes)
Asymmetric unit:
Mn: 0.0000 0.0000 0.0000 (multiplicity 3)  3 Co 2.52
Tl: 0.0000 0.0000 0.7652 (multiplicity 3)  3 Co 2.84, 6 Tl 2.96, 3 Mn 2.98
Co: 0.0000 0.0000 0.2586 (multiplicity 3)  3 Co 2.41, 3 Mn 2.52
Co: 0.0000 0.0000 0.5233 (multiplicity 3)  3 Co 2.41

D(E_F): 1.067 states/eV/atom
Crystal system: trigonal
Magnetic moment: 7.003 μB/f.u.


Version Q
Compound: MnTlCo2
Source: the Alexandria database
Functional: PBE
Structure: optimized geometry

Cell lengths 6.9097, 6.9097, 5.2555 Å; angles 90.00, 90.00, 90.00 degrees
With the nearest neighbours (Å) after each atom.
Space group I-42d (No. 122)
Asymmetric unit:
Mn: 0.0000 0.0000 0.0000 (multiplicity 4)  4 Co 2.37, 2 Tl 2.63
Tl: 0.0000 0.0000 0.5000 (multiplicity 4)  2 Mn 2.63, 4 Co 2.70
Co: 0.2156 0.7500 0.1250 (multiplicity 8)  2 Mn 2.37

D(E_F): 1.379 states/eV/atom
Crystal system: tetragonal
Magnetic moment: 6.108 μB/f.u.


Version R
Compound: MnTlCo2
Source: the Alexandria database
Functional: PBE
Structure: optimized geometry

Cell lengths 3.0052, 3.0052, 6.1640 Å; angles 90.00, 90.00, 90.00 degrees
With the nearest neighbours (Å) after each atom.
Space group P4/mmm (No. 123)
Asymmetric unit:
Mn: 0.0000 0.0000 0.0000 (multiplicity 1)  8 Co 2.49
Tl: 0.0000 0.0000 0.5000 (multiplicity 1)  8 Co 2.78, 4 Tl 3.01, 2 Mn 3.08
Co: 0.5000 0.5000 0.2093 (multiplicity 2)  4 Mn 2.49, 1 Co 2.58, 4 Tl 2.78

D(E_F): 0.928 states/eV/atom
Crystal system: tetragonal
Magnetic moment: 4.253 μB/f.u.


Stability ranking, top and bottom: version R is the most stable and version Q is the least stable.


Version P
Compound: MnTlCo2
Source: the Alexandria database
Functional: PBE
Structure: optimized geometry

Cell lengths 2.9010, 2.9010, 24.4567 Å; angles 90.00, 90.00, 120.00 degrees
With the nearest neighbours (Å) after each atom.
Space group R-3m (No. 166, hexagonal axes)
Asymmetric unit:
Mn: 0.0000 0.0000 0.0000 (multiplicity 3)  6 Co 2.46
Tl: 0.0000 0.0000 0.5000 (multiplicity 3)  6 Co 2.82, 6 Tl 2.90
Co: 0.0000 0.0000 0.2595 (multiplicity 6)  3 Mn 2.46

D(E_F): 0.899 states/eV/atom
Crystal system: trigonal
Magnetic moment: 5.224 μB/f.u.


Version Q
Compound: MnTlCo2
Source: the Alexandria database
Functional: PBE
Structure: optimized geometry

Cell lengths 3.8115, 3.8115, 7.8845 Å; angles 90.00, 90.00, 90.00 degrees
With the nearest neighbours (Å) after each atom.
Space group I-4m2 (No. 119)
Asymmetric unit:
Mn: 0.0000 0.0000 0.0000 (multiplicity 2)  8 Co 2.70-2.74, 4 Tl 2.74
Tl: 0.0000 0.5000 0.2500 (multiplicity 2)  8 Co 2.70-2.74, 4 Mn 2.74
Co: 0.0000 0.0000 0.5000 (multiplicity 2)  4 Mn 2.70, 4 Tl 2.74, 4 Co 2.74
Co: 0.0000 0.5000 0.7500 (multiplicity 2)  4 Tl 2.70, 4 Mn 2.74, 4 Co 2.74

D(E_F): 0.930 states/eV/atom
Crystal system: tetragonal
Magnetic moment: 6.161 μB/f.u.


Version R
Compound: MnTlCo2
Source: the Alexandria database
Functional: PBE
Structure: optimized geometry

Cell lengths 2.9565, 2.9565, 6.9934 Å; angles 90.00, 90.00, 90.00 degrees
With the nearest neighbours (Å) after each atom.
Space group P4mm (No. 99)
Asymmetric unit:
Mn: 0.0000 0.0000 0.0000 (multiplicity 1)  5 Co 2.58-2.72
Tl: 0.5000 0.5000 0.3227 (multiplicity 1)  5 Co 2.90-3.22, 4 Tl 2.96, 4 Mn 3.08
Co: 0.0000 0.0000 0.6111 (multiplicity 1)  4 Co 2.41
Co: 0.5000 0.5000 0.7830 (multiplicity 1)  4 Co 2.41, 4 Mn 2.58

D(E_F): 0.932 states/eV/atom
Crystal system: tetragonal
Magnetic moment: 7.119 μB/f.u.


Version S
Compound: MnTlCo2
Source: the Alexandria database
Functional: PBE
Structure: optimized geometry

Cell lengths 6.0700, 6.0700, 6.0700 Å; angles 90.00, 90.00, 90.00 degrees
With the nearest neighbours (Å) after each atom.
Space group Fm-3m (No. 225)
Asymmetric unit:
Mn: 0.0000 0.0000 0.0000 (multiplicity 4)  8 Co 2.63
Tl: 0.0000 0.0000 0.5000 (multiplicity 4)  8 Co 2.63
Co: 0.2500 0.2500 0.2500 (multiplicity 8)  4 Tl 2.63, 4 Mn 2.63

D(E_F): 0.930 states/eV/atom
Crystal system: cubic
Magnetic moment: 4.649 μB/f.u.


Stability ranking, top and bottom: version S is the most stable and version P is the least stable.


Version P
Compound: MnTlCo2
Source: the Alexandria database
Functional: PBE
Structure: optimized geometry

Cell lengths 3.9775, 3.9775, 3.6190 Å; angles 90.00, 90.00, 90.00 degrees
With the nearest neighbours (Å) after each atom.
Space group P4/mmm (No. 123)
Asymmetric unit:
Mn: 0.0000 0.0000 0.0000 (multiplicity 1)  8 Co 2.69, 4 Tl 2.81
Tl: 0.5000 0.5000 0.0000 (multiplicity 1)  8 Co 2.69, 4 Mn 2.81
Co: 0.0000 0.5000 0.5000 (multiplicity 2)  4 Tl 2.69, 4 Mn 2.69, 4 Co 2.81

D(E_F): 0.924 states/eV/atom
Crystal system: tetragonal
Magnetic moment: 6.098 μB/f.u.


Version Q
Compound: MnTlCo2
Source: the Alexandria database
Functional: PBE
Structure: optimized geometry

Cell lengths 8.4136, 2.9171, 4.8625 Å; angles 90.00, 102.66, 90.00 degrees
With the nearest neighbours (Å) after each atom.
Space group C2/m (No. 12)
Asymmetric unit:
Mn: 0.0000 0.0000 0.0000 (multiplicity 2)  6 Co 2.49-2.61
Tl: 0.0000 0.5000 0.5000 (multiplicity 2)  6 Co 2.72-2.78, 4 Mn 2.84, 2 Tl 2.92
Co: 0.2370 0.5000 0.2004 (multiplicity 4)  2 Co 2.48, 3 Mn 2.49-2.61, 1 Tl 2.72

D(E_F): 1.071 states/eV/atom
Crystal system: monoclinic
Magnetic moment: 5.500 μB/f.u.


Stability ranking, top and bottom: version P is the most stable and version Q is the least stable.